[1]
NpCuRh2 | PBE-GGA | optimized geometry

Cell lengths 4.5303, 4.5303, 4.5303 Å; angles 60.00, 60.00, 60.00 degrees
Element x y z (fractional)
Np (0.0000, 0.0000, 0.0000)
Cu (0.5000, 0.5000, 0.5000)
Rh (0.2500, 0.2500, 0.2500)
Rh (0.7500, 0.7500, 0.7500)

Computed properties:
**Distance to the lowest polymorph of the same formula**: 55.5 meV/atom
**DFT formation energy**: -26.24 kJ/mol of atoms

---

[2]
NpCu3Rh4 | PBE-GGA | optimized geometry

Cell lengths 4.3665, 4.3665, 6.1214 Å; angles 90.00, 90.00, 90.00 degrees
Element x y z (fractional)
Np (0.0000, 0.0000, 0.0000)
Cu (0.0000, 0.0000, 0.5000)
Cu (0.5000, 0.5000, 0.0000)
Cu (0.5000, 0.5000, 0.5000)
Rh (0.0000, 0.5000, 0.2589)
Rh (0.0000, 0.5000, 0.7411)
Rh (0.5000, 0.0000, 0.2589)
Rh (0.5000, 0.0000, 0.7411)

Computed properties:
**DFT formation energy**: -15.20 kJ/mol of atoms

---

[3]
NpCuRh | PBE-GGA | optimized geometry

Cell lengths 8.3605, 8.3605, 8.3605 Å; angles 29.72, 29.72, 29.72 degrees
Element x y z (fractional)
Np (0.0719, 0.0719, 0.0719)
Np (0.9281, 0.9281, 0.9281)
Cu (0.1900, 0.1900, 0.1900)
Cu (0.8100, 0.8100, 0.8100)
Rh (0.3327, 0.3327, 0.3327)
Rh (0.6673, 0.6673, 0.6673)

Computed properties:
**DFT formation energy**: 29.28 kJ/mol of atoms

---

[4]
NpCu4Rh | PBE-GGA | optimized geometry

Cell lengths 4.9827, 4.9827, 4.9827 Å; angles 60.00, 60.00, 60.00 degrees
Element x y z (fractional)
Np (0.0000, 0.0000, 0.0000)
Cu (0.3759, 0.3759, 0.3759)
Cu (0.3759, 0.3759, 0.8723)
Cu (0.3759, 0.8723, 0.3759)
Cu (0.8723, 0.3759, 0.3759)
Rh (0.7500, 0.7500, 0.7500)

Computed properties:
**DFT formation energy**: -0.22 kJ/mol of atoms

---

[5]
NpCuRh6 | PBE-GGA | optimized geometry

Cell lengths 5.5288, 5.5288, 3.9355 Å; angles 90.00, 90.00, 90.00 degrees
Element x y z (fractional)
Np (0.0000, 0.0000, 0.0000)
Cu (0.5000, 0.5000, 0.0000)
Rh (0.0000, 0.5000, 0.0000)
Rh (0.2532, 0.2532, 0.5000)
Rh (0.2532, 0.7468, 0.5000)
Rh (0.5000, 0.0000, 0.0000)
Rh (0.7468, 0.2532, 0.5000)
Rh (0.7468, 0.7468, 0.5000)

Computed properties:
**DFT formation energy**: -16.64 kJ/mol of atoms

---

[6]
NpCuRh2 | PBE-GGA | optimized geometry

Cell lengths 4.1518, 4.1518, 3.7417 Å; angles 90.00, 90.00, 90.00 degrees
Element x y z (fractional)
Np (0.0000, 0.0000, 0.0000)
Cu (0.5000, 0.5000, 0.0000)
Rh (0.0000, 0.5000, 0.5000)
Rh (0.5000, 0.0000, 0.5000)

Computed properties:
**Distance to the lowest polymorph of the same formula**: 0.0 meV/atom
**DFT formation energy**: -31.59 kJ/mol of atoms

---

[7]
NpCuRuRh | PBE-GGA | optimized geometry

Cell lengths 4.5023, 4.5023, 4.5023 Å; angles 60.00, 60.00, 60.00 degrees
Element x y z (fractional)
Np (0.0000, 0.0000, 0.0000)
Cu (0.5000, 0.5000, 0.5000)
Ru (0.2500, 0.2500, 0.2500)
Rh (0.7500, 0.7500, 0.7500)

Computed properties:
**DFT formation energy**: -10.87 kJ/mol of atoms

---

[8]
NpCuSnRh | PBE-GGA | optimized geometry

Cell lengths 4.7390, 4.7390, 4.7390 Å; angles 60.00, 60.00, 60.00 degrees
Element x y z (fractional)
Np (0.0000, 0.0000, 0.0000)
Cu (0.2500, 0.2500, 0.2500)
Sn (0.5000, 0.5000, 0.5000)
Rh (0.7500, 0.7500, 0.7500)

Computed properties:
**DFT formation energy**: -12.87 kJ/mol of atoms

---

[9]
NpCu4Ru | PBE-GGA | optimized geometry

Cell lengths 4.9673, 4.9673, 4.9673 Å; angles 60.00, 60.00, 60.00 degrees
Element x y z (fractional)
Np (0.0000, 0.0000, 0.0000)
Cu (0.1278, 0.6240, 0.6240)
Cu (0.6240, 0.1278, 0.6240)
Cu (0.6240, 0.6240, 0.1278)
Cu (0.6240, 0.6240, 0.6240)
Ru (0.2500, 0.2500, 0.2500)

Computed properties:
**DFT formation energy**: 14.00 kJ/mol of atoms

---

[10]
NpCuSbRu | PBE-GGA | optimized geometry

Cell lengths 4.7111, 4.7111, 4.7111 Å; angles 60.00, 60.00, 60.00 degrees
Element x y z (fractional)
Np (0.0000, 0.0000, 0.0000)
Cu (0.2500, 0.2500, 0.2500)
Sb (0.5000, 0.5000, 0.5000)
Ru (0.7500, 0.7500, 0.7500)

Computed properties:
**E_form (uncorrected)**: 0.06 eV/atom

---

[11]
NpCuSnRu | PBE-GGA | optimized geometry

Cell lengths 4.7137, 4.7137, 4.7137 Å; angles 60.00, 60.00, 60.00 degrees
Element x y z (fractional)
Np (0.0000, 0.0000, 0.0000)
Cu (0.7500, 0.7500, 0.7500)
Sn (0.5000, 0.5000, 0.5000)
Ru (0.2500, 0.2500, 0.2500)

Computed properties:
**DFT formation energy**: 6.82 kJ/mol of atoms

---

[12]
NpUCuRu | PBE-GGA | optimized geometry

Cell lengths 4.5749, 4.5749, 4.5749 Å; angles 60.00, 60.00, 60.00 degrees
Element x y z (fractional)
Np (0.0000, 0.0000, 0.0000)
U (0.2500, 0.2500, 0.2500)
Cu (0.7500, 0.7500, 0.7500)
Ru (0.5000, 0.5000, 0.5000)

Computed properties:
**DFT formation energy**: -12.89 kJ/mol of atoms

---

Number 1: spin magnetization 3.07 μB/f.u.. Number 2: spin magnetization 1.23 μB/f.u.. Number 3: spin magnetization 3.97 μB/f.u.. Number 4: spin magnetization 3.60 μB/f.u.. Number 5: spin magnetization 0.55 μB/f.u.. Number 6: spin magnetization 2.59 μB/f.u.. Number 7: spin magnetization 2.72 μB/f.u.. Number 8: spin magnetization 3.50 μB/f.u.. Number 9: spin magnetization 3.02 μB/f.u.. Number 10: spin magnetization 3.35 μB/f.u.. Number 11: spin magnetization 3.31 μB/f.u.. Number 12: spin magnetization 4.08 μB/f.u..